# 1
A plane-wave DFT calculation with PBE-GGA was carried out for a geometry-optimized Sm4Pt6O19 structure.

Summary:
V (Å³/cell): 734
Formation energy from raw total energies (eV per atom): -1.500

CIF file:
```
data_Sm4Pt6O19
_chemical_formula_sum 'Sm8 Pt12 O38'
_cell_length_a 9.0197
_cell_length_b 9.0197
_cell_length_c 9.0197
_cell_angle_alpha 90.00
_cell_angle_beta 90.00
_cell_angle_gamma 90.00
_space_group_name_H-M_alt 'I 2 3'
_space_group_IT_number 197
_space_group_name_Hall 'I 2 2 3'
loop_
_atom_site_label
_atom_site_type_symbol
_atom_site_fract_x
_atom_site_fract_y
_atom_site_fract_z
Sm1 Sm 0.1561 0.1561 0.8439
Pt1 Pt 0.0000 0.3407 0.5000
O1 O 0.0000 0.0000 0.0000
O2 O 0.0000 0.0000 0.3340
O3 O 0.0326 0.3208 0.2831
```

# 2
A plane-wave DFT calculation with PBE-GGA was carried out for a geometry-optimized Nd8As3HSe4 structure.

Summary:
Raw total energy (eV per atom): -5.870
V (Å³/cell): 1270

CIF file:
```
data_Nd8As3HSe4
_chemical_formula_sum 'Nd24 As9 H3 Se12'
_cell_length_a 8.4209
_cell_length_b 8.4209
_cell_length_c 20.6813
_cell_angle_alpha 90.00
_cell_angle_beta 90.00
_cell_angle_gamma 120.00
_space_group_name_H-M_alt 'R -3 m'
_space_group_IT_number 166
_space_group_name_Hall '-R 3 2"'
loop_
_atom_site_label
_atom_site_type_symbol
_atom_site_fract_x
_atom_site_fract_y
_atom_site_fract_z
Nd1 Nd 0.0000 0.0000 0.2467
Nd2 Nd 0.0048 0.5024 0.7515
As1 As 0.0000 0.5000 0.5000
H1 H 0.0000 0.0000 0.5000
Se1 Se 0.0000 0.0000 0.0000
Se2 Se 0.0000 0.5000 0.0000
```

# 3
A plane-wave DFT calculation with PBE-GGA was carried out for a geometry-optimized As2PbW structure.

Summary:
V (Å³/cell): 262
Energy of formation (meV per atom): 62

CIF file:
```
data_As2PbW
_chemical_formula_sum 'As6 Pb3 W3'
_cell_length_a 3.2514
_cell_length_b 3.2514
_cell_length_c 28.6563
_cell_angle_alpha 90.00
_cell_angle_beta 90.00
_cell_angle_gamma 120.00
_space_group_name_H-M_alt 'R -3 m'
_space_group_IT_number 166
_space_group_name_Hall '-R 3 2"'
loop_
_atom_site_label
_atom_site_type_symbol
_atom_site_fract_x
_atom_site_fract_y
_atom_site_fract_z
As1 As 0.0000 0.0000 0.2292
Pb1 Pb 0.0000 0.0000 0.0000
W1 W 0.0000 0.0000 0.5000
```

# 4
A plane-wave DFT calculation with PBE-GGA was carried out for a geometry-optimized La4TbTm7 structure.

Summary:
V (Å³/cell): 816
Energy of formation (meV per atom): 274

CIF file:
```
data_La4TbTm7
_chemical_formula_sum 'La8 Tb2 Tm14'
_cell_length_a 12.0868
_cell_length_b 5.8960
_cell_length_c 12.7822
_cell_angle_alpha 90.00
_cell_angle_beta 116.38
_cell_angle_gamma 90.00
_space_group_name_H-M_alt 'C 1 2/m 1'
_space_group_IT_number 12
_space_group_name_Hall '-C 2y'
loop_
_atom_site_label
_atom_site_type_symbol
_atom_site_fract_x
_atom_site_fract_y
_atom_site_fract_z
La1 La 0.0892 0.0000 0.2918
La2 La 0.1398 0.5000 0.7755
Tb1 Tb 0.0000 0.5000 0.0000
Tm1 Tm 0.0000 0.0000 0.0000
Tm2 Tm 0.1314 0.5000 0.4854
Tm3 Tm 0.1630 0.0000 0.6282
Tm4 Tm 0.2108 0.0000 0.9187
```

# 5
A plane-wave DFT calculation with PBE-GGA was carried out for a geometry-optimized Hf2GeC structure.

Summary:
V (Å³/cell): 129
Energy of formation (meV per atom): -758

CIF file:
```
data_Hf2GeC
_chemical_formula_sum 'Hf4 Ge2 C2'
_cell_length_a 5.7462
_cell_length_b 3.3199
_cell_length_c 7.0042
_cell_angle_alpha 90.00
_cell_angle_beta 105.68
_cell_angle_gamma 90.00
_space_group_name_H-M_alt 'C 1 2/m 1'
_space_group_IT_number 12
_space_group_name_Hall '-C 2y'
loop_
_atom_site_label
_atom_site_type_symbol
_atom_site_fract_x
_atom_site_fract_y
_atom_site_fract_z
Hf1 Hf 0.2269 0.0000 0.1846
Ge1 Ge 0.0000 0.0000 0.5000
C1 C 0.0000 0.5000 0.0000
```

# 6
A plane-wave DFT calculation with PBE-GGA was carried out for a geometry-optimized Pm6Pr2Cd structure.

Summary:
Energy above the most stable polymorph in this dataset (meV/atom): 0.0
V (Å³/cell): 607
Energy of formation (meV per atom): -12

CIF file:
```
data_Pm6Pr2Cd
_chemical_formula_sum 'Pm12 Pr4 Cd2'
_cell_length_a 6.4696
_cell_length_b 9.7235
_cell_length_c 9.7435
_cell_angle_alpha 82.32
_cell_angle_beta 88.99
_cell_angle_gamma 88.45
_space_group_name_H-M_alt 'P -1'
_space_group_IT_number 2
_space_group_name_Hall '-P 1'
loop_
_atom_site_label
_atom_site_type_symbol
_atom_site_fract_x
_atom_site_fract_y
_atom_site_fract_z
Pm1 Pm 0.0900 0.0955 0.1350
Pm2 Pm 0.0984 0.2847 0.7831
Pm3 Pm 0.2315 0.2731 0.4205
Pm4 Pm 0.2544 0.6451 0.7251
Pm5 Pm 0.3864 0.6250 0.3669
Pm6 Pm 0.4030 0.0064 0.6815
Pr1 Pr 0.2452 0.4570 0.0745
Pr2 Pr 0.4052 0.8187 0.0258
Cd1 Cd 0.1395 0.9031 0.4340
```